Record 1
Entry from Alexandria: a geometry-optimized Y2AsF structure (PBE).

a b c (Å): 5.8526 5.8526 7.3242
angles (deg): 66.45 66.45 90.00
Element x y z (fractional)
Y: 0.8750 0.8293 0.7500
Y: 0.1707 0.6250 0.2500
Y: 0.3750 0.4207 0.7500
Y: 0.5793 0.1250 0.2500
F: 0.5000 0.5000 0.0000
F: 0.2500 0.7500 0.5000
As: 0.7500 0.2500 0.5000
As: 0.0000 0.0000 0.0000

Results
- Formation energy without anion corrections: -1.56 eV/atom
- SG: I-42d
- Offset from the most stable computed form: 0.043 eV per atom

Record 2
Entry from Alexandria: a geometry-optimized YAsF structure (PBE).

a b c (Å): 3.8784 4.9850 7.6445
angles (deg): 106.72 90.00 112.89
Element x y z (fractional)
Y: 0.6650 0.3300 0.7689
Y: 0.3350 0.6700 0.2311
F: 0.8464 0.6929 0.0654
F: 0.1536 0.3071 0.9346
As: 0.6629 0.3259 0.3784
As: 0.3371 0.6741 0.6216

Results
- Formation energy without anion corrections: -2.17 eV/atom
- SG: C2/m
- Offset from the most stable computed form: 0.077 eV per atom

Record 3
Entry from Alexandria: a geometry-optimized YAs3F structure (PBE).

a b c (Å): 4.6036 4.6036 4.6036
angles (deg): 90.00 90.00 90.00
Element x y z (fractional)
As: 0.0000 0.5000 0.0000
As: 0.5000 0.0000 0.0000
As: 0.0000 0.0000 0.5000
F: 0.0000 0.0000 0.0000
Y: 0.5000 0.5000 0.5000

Results
- Formation energy without anion corrections: -0.53 eV/atom
- SG: Pm-3m
- Offset from the most stable computed form: 0.000 eV per atom

Record 4
Entry from Alexandria: a geometry-optimized Y3AsF structure (PBE).

a b c (Å): 4.7634 4.7634 4.7634
angles (deg): 90.00 90.00 90.00
Element x y z (fractional)
Y: 0.5000 0.0000 0.0000
Y: 0.0000 0.5000 0.0000
Y: 0.0000 0.0000 0.5000
As: 0.5000 0.5000 0.5000
F: 0.0000 0.0000 0.0000

Results
- Formation energy without anion corrections: -1.02 eV/atom
- SG: Pm-3m
- Offset from the most stable computed form: 0.000 eV per atom

Record 5
Entry from Alexandria: a geometry-optimized YAs2F structure (PBE).

a b c (Å): 4.8075 4.8075 4.8075
angles (deg): 60.00 60.00 60.00
Element x y z (fractional)
As: 0.7500 0.7500 0.7500
As: 0.2500 0.2500 0.2500
Y: 0.5000 0.5000 0.5000
F: 0.0000 0.0000 0.0000

Results
- Formation energy without anion corrections: -0.71 eV/atom
- SG: Fm-3m
- Offset from the most stable computed form: 0.633 eV per atom

Record 6
Entry from Alexandria: a geometry-optimized YAsF structure (PBE).

a b c (Å): 4.3729 3.9132 3.9132
angles (deg): 120.00 90.00 90.00
Element x y z (fractional)
F: 0.1667 0.3333 0.6667
Y: 0.1666 0.0000 0.0000
As: 0.6667 0.6667 0.3333

Results
- Formation energy without anion corrections: -2.12 eV/atom
- SG: P-6m2
- Offset from the most stable computed form: 0.128 eV per atom

Record 7
Entry from Alexandria: a geometry-optimized YAs2F structure (PBE).

a b c (Å): 3.7786 3.7786 11.1393
angles (deg): 80.23 80.23 90.00
Element x y z (fractional)
F: 0.5000 0.5000 0.0000
F: 0.2500 0.7500 0.5000
As: 0.8750 0.9031 0.7500
As: 0.6531 0.1250 0.2500
As: 0.3750 0.3469 0.7500
As: 0.0969 0.6250 0.2500
Y: 0.7500 0.2500 0.5000
Y: 0.0000 0.0000 0.0000

Results
- Formation energy without anion corrections: -1.35 eV/atom
- SG: I-42d
- Offset from the most stable computed form: 0.000 eV per atom

Record 8
Entry from Alexandria: a geometry-optimized Y2As2F structure (PBE).

a b c (Å): 7.0900 7.0900 4.1359
angles (deg): 90.00 90.00 90.00
Element x y z (fractional)
As: 0.3755 0.1245 0.5000
As: 0.6245 0.8755 0.5000
As: 0.1245 0.6245 0.5000
As: 0.8755 0.3755 0.5000
Y: 0.6824 0.1824 0.0000
Y: 0.1824 0.3176 0.0000
Y: 0.8176 0.6824 0.0000
Y: 0.3176 0.8176 0.0000
F: 0.5000 0.5000 0.0000
F: 0.0000 0.0000 0.0000

Results
- Formation energy without anion corrections: -1.80 eV/atom
- SG: P4/mbm

Record 9
Entry from Alexandria: a geometry-optimized YZr2AsF structure (PBE).

a b c (Å): 5.4861 4.1635 5.4861
angles (deg): 90.00 90.00 90.00
Last column: magnetic moment on the atom in μB.
Element x y z (fractional)
F: 0.0000 0.5000 0.0000  0.06
Zr: 0.5000 0.0000 0.0000  0.59
Zr: 0.0000 0.0000 0.5000  0.67
As: 0.5000 0.5000 0.5000  -0.05
Y: 0.0000 0.0000 0.0000  0.19

Results
- Formation energy without anion corrections: 0.08 eV/atom
- SG: P4/mmm

Record 10
Entry from Alexandria: a geometry-optimized ZnAsF3 structure (PBE).

a b c (Å): 4.2780 4.2780 4.2780
angles (deg): 90.00 90.00 90.00
Element x y z (fractional)
F: 0.5000 0.0000 0.0000
F: 0.0000 0.5000 0.0000
F: 0.0000 0.0000 0.5000
Zn: 0.5000 0.5000 0.5000
As: 0.0000 0.0000 0.0000

Results
- Formation energy without anion corrections: -1.20 eV/atom
- SG: Pm-3m
- Offset from the most stable computed form: 0.017 eV per atom

Record 11
Entry from Alexandria: a geometry-optimized ZnAsF4 structure (PBE).

a b c (Å): 6.7144 6.7144 5.3329
angles (deg): 129.02 129.02 90.00
Last column: magnetic moment on the atom in μB.
Element x y z (fractional)
F: 0.4133 0.8040 0.0279  0.02
F: 0.7760 0.5867 0.9721  0.02
F: 0.6146 0.2240 0.0279  0.02
F: 0.1960 0.3854 0.9721  0.02
As: 0.5000 0.5000 0.0000  0.43
Zn: 0.7500 0.2500 0.5000  0.00

Results
- Formation energy without anion corrections: -1.81 eV/atom
- SG: I-4

Record 12
Entry from Alexandria: a geometry-optimized Zn2AsF structure (PBE).

a b c (Å): 4.3763 4.3763 4.3763
angles (deg): 60.00 60.00 60.00
Element x y z (fractional)
As: 0.5000 0.5000 0.5000
Zn: 0.7500 0.7500 0.7500
Zn: 0.2500 0.2500 0.2500
F: 0.0000 0.0000 0.0000

Results
- Formation energy without anion corrections: -0.57 eV/atom
- SG: Fm-3m
- Offset from the most stable computed form: 0.297 eV per atom

Record 13
Entry from Alexandria: a geometry-optimized Zn2AsF structure (PBE).

a b c (Å): 5.1569 5.1569 6.9312
angles (deg): 68.16 68.16 90.00
Element x y z (fractional)
Zn: 0.1425 0.6250 0.2500
Zn: 0.3750 0.3925 0.7500
Zn: 0.6075 0.1250 0.2500
Zn: 0.8750 0.8575 0.7500
F: 0.2500 0.7500 0.5000
F: 0.5000 0.5000 0.0000
As: 0.7500 0.2500 0.5000
As: 0.0000 0.0000 0.0000

Results
- Formation energy without anion corrections: -0.81 eV/atom
- SG: I-42d
- Offset from the most stable computed form: 0.055 eV per atom

Record 14
Entry from Alexandria: a geometry-optimized ZnAsF3 structure (PBE).

a b c (Å): 4.0960 4.0960 4.0960
angles (deg): 90.00 90.00 90.00
Element x y z (fractional)
F: 0.5000 0.0000 0.0000
F: 0.0000 0.5000 0.0000
F: 0.0000 0.0000 0.5000
As: 0.5000 0.5000 0.5000
Zn: 0.0000 0.0000 0.0000

Results
- Formation energy without anion corrections: -1.22 eV/atom
- SG: Pm-3m
- Offset from the most stable computed form: 0.000 eV per atom

Record 15
Entry from Alexandria: a geometry-optimized Zn2AsF structure (PBE).

a b c (Å): 4.2651 4.0474 8.6241
angles (deg): 90.01 90.00 84.31
Element x y z (fractional)
F: 0.7512 0.3633 0.5687
F: 0.2512 0.8635 0.6473
Zn: 0.6919 0.7779 0.1684
Zn: 0.1920 0.2777 0.0476
Zn: 0.1557 0.1600 0.4654
Zn: 0.6556 0.6599 0.7506
As: 0.7052 0.1322 0.9242
As: 0.2051 0.6322 0.2918

Results
- Formation energy without anion corrections: -0.87 eV/atom
- SG: Pc
- Offset from the most stable computed form: 0.000 eV per atom

Record 16
Entry from Alexandria: a geometry-optimized ZrZnAs2F structure (PBE).

a b c (Å): 5.1124 5.5726 5.1124
angles (deg): 90.00 90.00 90.00
Last column: magnetic moment on the atom in μB.
Element x y z (fractional)
Zn: 0.0000 0.5000 0.0000  0.00
As: 0.0000 0.0000 0.5000  0.02
As: 0.5000 0.0000 0.0000  0.01
F: 0.5000 0.5000 0.5000  0.10
Zr: 0.0000 0.0000 0.0000  0.03

Results
- Formation energy without anion corrections: 0.14 eV/atom
- SG: P4/mmm

Record 17
Entry from Alexandria: a geometry-optimized Zr2AsF structure (PBE).

a b c (Å): 6.7784 6.7784 5.7261
angles (deg): 53.71 53.71 90.00
Element x y z (fractional)
F: 0.2500 0.7500 0.5000
F: 0.5000 0.5000 0.0000
Zr: 0.3750 0.4478 0.7500
Zr: 0.1978 0.6250 0.2500
Zr: 0.8750 0.8022 0.7500
Zr: 0.5522 0.1250 0.2500
As: 0.0000 0.0000 0.0000
As: 0.7500 0.2500 0.5000

Results
- Formation energy without anion corrections: -1.23 eV/atom
- SG: I-42d
- Offset from the most stable computed form: 0.015 eV per atom

Record 18
Entry from Alexandria: a geometry-optimized ZrAsF3 structure (PBE).

a b c (Å): 4.3305 4.3305 4.3305
angles (deg): 90.00 90.00 90.00
Last column: magnetic moment on the atom in μB.
Element x y z (fractional)
As: 0.5000 0.5000 0.5000  0.88
F: 0.0000 0.5000 0.0000  0.05
F: 0.5000 0.0000 0.0000  0.10
F: 0.0000 0.0000 0.5000  0.08
Zr: 0.0000 0.0000 0.0000  0.42

Results
- Formation energy without anion corrections: -1.97 eV/atom
- SG: Pm-3m
- Offset from the most stable computed form: 0.000 eV per atom

Record 19
Entry from Alexandria: a geometry-optimized Zr2AsF structure (PBE).

a b c (Å): 4.5885 4.5885 4.5885
angles (deg): 60.00 60.00 60.00
Element x y z (fractional)
Zr: 0.7500 0.7500 0.7500
Zr: 0.2500 0.2500 0.2500
As: 0.5000 0.5000 0.5000
F: 0.0000 0.0000 0.0000

Results
- Formation energy without anion corrections: -1.25 eV/atom
- SG: Fm-3m
- Offset from the most stable computed form: 0.000 eV per atom

Record 20
Entry from Alexandria: a geometry-optimized ZrAsF3 structure (PBE).

a b c (Å): 4.4184 4.4184 4.4184
angles (deg): 90.00 90.00 90.00
Last column: magnetic moment on the atom in μB.
Element x y z (fractional)
F: 0.0000 0.5000 0.0000  0.04
F: 0.0000 0.0000 0.5000  0.04
F: 0.5000 0.0000 0.0000  0.01
Zr: 0.5000 0.5000 0.5000  1.55
As: 0.0000 0.0000 0.0000  -0.10

Results
- Formation energy without anion corrections: -0.74 eV/atom
- SG: Pm-3m
- Offset from the most stable computed form: 1.224 eV per atom

Record 21
Entry from Alexandria: a geometry-optimized ZrAsF structure (PBE).

a b c (Å): 3.9011 7.6052 7.6052
angles (deg): 90.00 90.00 90.00
Element x y z (fractional)
F: 0.0000 0.0125 0.8204
F: 0.5000 0.8204 0.9875
F: 0.0000 0.9875 0.1796
F: 0.5000 0.1796 0.0125
As: 0.5000 0.2318 0.3898
As: 0.0000 0.3898 0.7682
As: 0.5000 0.7682 0.6102
As: 0.0000 0.6102 0.2318
Zr: 0.5000 0.1323 0.7132
Zr: 0.0000 0.2868 0.1323
Zr: 0.0000 0.7132 0.8677
Zr: 0.5000 0.8677 0.2868

Results
- Formation energy without anion corrections: -1.76 eV/atom
- SG: P4_2/m

Record 22
Entry from Alexandria: a geometry-optimized Fe2As structure (PBE).

a b c (Å): 5.5804 5.5804 5.5804
angles (deg): 90.00 90.00 90.00
Last column: magnetic moment on the atom in μB.
Element x y z (fractional)
Fe: 0.1274 0.8726 0.6274  1.79
Fe: 0.8726 0.3726 0.8726  1.79
Fe: 0.3726 0.1274 0.1274  1.79
Fe: 0.8726 0.1274 0.3726  1.79
Fe: 0.1274 0.6274 0.1274  1.79
Fe: 0.6274 0.8726 0.8726  1.79
Fe: 0.3726 0.3726 0.6274  1.79
Fe: 0.6274 0.6274 0.3726  1.79
As: 0.5000 0.5000 0.0000  -0.09
As: 0.0000 0.5000 0.5000  -0.09
As: 0.5000 0.0000 0.5000  -0.09
As: 0.0000 0.0000 0.0000  -0.09

Results
- E_form: 0.381 eV/atom
- SG: Pa-3

Record 23
Entry from Alexandria: a geometry-optimized FeAs5 structure (PBE).

a b c (Å): 9.1608 9.1608 4.1214
angles (deg): 90.00 90.00 160.56
Last column: magnetic moment on the atom in μB.
Element x y z (fractional)
As: 0.3061 0.6939 0.5000  -0.01
As: 0.8913 0.1087 0.0000  -0.04
As: 0.6939 0.3061 0.5000  -0.01
As: 0.1087 0.8913 0.0000  -0.04
As: 0.0000 0.0000 0.5000  0.02
Fe: 0.5000 0.5000 0.0000  1.48

Results
- E_form: 0.287 eV/atom
- SG: Cmmm
- Offset from the most stable computed form: 0.248 eV per atom

Record 24
Entry from Alexandria: a geometry-optimized Fe12As5 structure (PBE).

a b c (Å): 6.6472 6.6472 6.6472
angles (deg): 60.95 60.95 60.95
Last column: magnetic moment on the atom in μB.
Element x y z (fractional)
As: 0.8540 0.5079 0.2003  -0.07
As: 0.5078 0.2002 0.8541  -0.07
As: 0.9977 0.9977 0.9978  -0.06
As: 0.2002 0.8540 0.5080  -0.07
As: 0.7104 0.7104 0.7105  -0.06
Fe: 0.5914 0.3540 0.1167  2.65
Fe: 0.2365 0.2365 0.2366  1.87
Fe: 0.6297 0.8488 0.3399  2.02
Fe: 0.4715 0.4715 0.4717  1.87
Fe: 0.0783 0.3684 0.8593  2.02
Fe: 0.8592 0.0783 0.3685  2.02
Fe: 0.8540 0.8541 0.8542  0.04
Fe: 0.3683 0.8592 0.0785  2.02
Fe: 0.8488 0.3398 0.6298  2.02
Fe: 0.3398 0.6297 0.8489  2.02
Fe: 0.1165 0.5915 0.3541  2.65
Fe: 0.3540 0.1166 0.5916  2.65

Results
- E_form: -0.071 eV/atom
- SG: R32

Record 25
Entry from Alexandria: a geometry-optimized Fe2As3 structure (PBE).

a b c (Å): 7.7178 7.1160 5.3366
angles (deg): 75.08 62.99 41.93
Element x y z (fractional)
As: 0.0761 0.8727 0.6076
As: 0.4436 0.6076 0.8727
As: 0.8712 0.1288 0.1288
As: 0.1212 0.3788 0.3788
As: 0.3773 0.1739 0.8064
As: 0.6424 0.8064 0.1739
Fe: 0.2410 0.9678 0.1731
Fe: 0.2822 0.0090 0.6319
Fe: 0.0769 0.6319 0.0090
Fe: 0.6181 0.1731 0.9678

Results
- E_form: 0.065 eV/atom
- SG: Fdd2